(1)
Compound: Pt2RhCl
Source: the Alexandria database
Functional: PBE
Structure: optimized geometry

Calculated values
Crystal system ... monoclinic
DFT total energy ... -4.85 eV per atom
Density of states at the Fermi level ... 1.235 states/eV per atom
E above lowest polymorph ... 271 meV/atom
Space group ... P2/m

Cell and atoms, written as POSCAR:
```
Pt2RhCl
1.0
-3.208 -0.390 -3.736
-1.278 -2.188 1.326
-2.820 2.895 2.119
Cl Pt Rh
1 2 1
Direct
0.500 0.750 0.750
0.000 0.006 0.003
0.000 0.494 0.497
0.500 0.250 0.250
```

---

(2)
Compound: Np2Tl3SbTe6
Source: the Alexandria database
Functional: PBE
Structure: optimized geometry

Calculated values
Crystal system ... monoclinic
DFT total energy ... -5.10 eV per atom
Density of states at the Fermi level ... 1.435 states/eV per atom
Space group ... C2/m

Cell and atoms, written as POSCAR:
```
Np2Tl3SbTe6
1.0
7.826 -0.004 -0.001
-3.915 6.776 -0.001
-1.305 -2.260 8.087
Np Tl Sb Te
2 3 1 6
Direct
0.334 0.666 0.000
0.666 0.334 0.000
0.169 0.831 0.500
0.831 0.169 0.500
0.500 0.500 0.500
0.000 0.000 0.000
0.929 0.596 0.787
0.739 0.739 0.215
0.071 0.404 0.213
0.596 0.929 0.787
0.261 0.261 0.785
0.404 0.071 0.213
```

---

(3)
Compound: Ta2IrRu
Source: the Alexandria database
Functional: PBE
Structure: optimized geometry

Calculated values
Crystal system ... trigonal
DFT total energy ... -10.45 eV per atom
Density of states at the Fermi level ... 0.879 states/eV per atom
Formation energy ... 0.01 eV/atom
Space group ... R3m

Cell and atoms, written as POSCAR:
```
Ta2IrRu
1.0
8.927 -0.011 -0.007
8.435 2.920 -0.007
8.435 1.413 2.555
Ir Ru Ta
1 1 2
Direct
0.502 0.502 0.502
0.746 0.746 0.746
0.004 0.004 0.004
0.247 0.247 0.247
```